# 1
Compound: CrTe2As
Source: Alexandria via LeMat-Bulk
Functional: PBEsol
Structure: relaxed

abc: 4.988 4.988 4.988
angles: 107.29 110.57 110.57
Last column: magnetic moment on the atom in μB.
Fractional positions:
As 0.000 0.500 0.500  -0.08
Te 0.500 0.500 0.000  -0.06
Cr 0.000 0.000 0.000  3.65
Te 0.500 0.000 0.500  -0.06

- formation energy without anion corrections (kJ/mol of formula units) = 80
- space-group type = I4/mmm
- D(E_F) (states/eV/atom) = 0.47

***

# 2
Compound: K2MnTe2
Source: Alexandria via LeMat-Bulk
Functional: PBEsol
Structure: relaxed

abc: 6.853 7.339 8.634
angles: 115.15 113.38 90.00
Last column: magnetic moment on the atom in μB.
Fractional positions:
Mn 0.750 0.000 0.000  4.16
Te 0.608 0.307 0.217  0.07
Mn 0.250 0.000 0.000  4.16
Te 0.108 0.910 0.217  0.07
K 0.858 0.536 0.715  0.01
K 0.358 0.180 0.715  0.01
Te 0.392 0.693 0.783  0.07
K 0.142 0.464 0.285  0.01
Te 0.892 0.090 0.783  0.07
K 0.642 0.820 0.285  0.01

- formation energy without anion corrections (kJ/mol of formula units) = -317
- space-group type = Ibam

***

# 3
Compound: As2BrCl
Source: Alexandria via LeMat-Bulk
Functional: PBEsol
Structure: relaxed

abc: 3.653 5.719 5.589
angles: 100.15 109.08 90.00
Fractional positions:
As 0.327 0.728 0.653
Br 0.521 0.571 0.041
As 0.914 0.017 0.827
Cl 0.739 0.185 0.479

- formation energy without anion corrections (kJ/mol of formula units) = -102
- space-group type = Cm
- energy above the lowest structure with this stoichiometry (eV per atom) = 0.018

***

# 4
Compound: TlC2
Source: Alexandria via LeMat-Bulk
Functional: PBEsol
Structure: relaxed

abc: 4.900 4.900 4.900
angles: 82.97 63.97 116.03
Last column: magnetic moment on the atom in μB.
Fractional positions:
C 0.675 0.087 0.413  0.08
Tl 0.000 0.250 0.750  0.00
C 0.500 0.587 0.087  0.08
Tl 0.000 0.750 0.250  0.00
C 0.500 0.413 0.913  0.08
C 0.325 0.913 0.587  0.08

- energy of formation (eV per formula unit) = 5.3
- space-group type = I4/mcm
- energy above the lowest structure with this stoichiometry (eV per atom) = 0.928
- D(E_F) (states/eV/atom) = 0.71